## SrFePt2 (PBE)

Data for an optimized crystal structure of SrFePt2.

Cell lengths 4.992, 4.992, 3.055 Å; angles 90.00, 90.00, 101.12 degrees
Site moments in Bohr magnetons follow the coordinates.
Element x y z (fractional)
1 Pt 0.500 0.500 0.000  0.12
2 Pt 0.000 0.000 0.000  0.12
3 Sr 0.500 0.000 0.500  -0.02
4 Fe 0.000 0.500 0.500  3.20

Values from the calculation:
final energy: -5.5937 eV/atom
crystal system: orthorhombic
total moment: 3.370 μB/cell